# Pr12NdCd7, optimized geometry, DFT GGA-PBE
data_Pr12NdCd7
_chemical_formula_sum 'Pr12 Nd1 Cd7'
_cell_length_a 9.105
_cell_length_b 9.105
_cell_length_c 9.105
_cell_angle_alpha 106.96
_cell_angle_beta 106.96
_cell_angle_gamma 106.96
_symmetry_space_group_name_H-M 'P 1'
_symmetry_Int_Tables_number 1
_symmetry_space_group_name_Hall 'P 1'
loop_
_atom_site_label
_atom_site_fract_x
_atom_site_fract_y
_atom_site_fract_z
Pr1 0.032 0.285 0.399
Pr2 0.208 0.660 0.365
Pr3 0.285 0.399 0.032
Pr4 0.340 0.635 0.792
Pr5 0.365 0.208 0.660
Pr6 0.399 0.032 0.285
Pr7 0.601 0.968 0.715
Pr8 0.635 0.792 0.340
Pr9 0.660 0.365 0.208
Pr10 0.715 0.601 0.968
Pr11 0.792 0.340 0.635
Pr12 0.968 0.715 0.601
Nd1 0.000 0.000 0.000
Cd1 0.013 0.901 0.327
Cd2 0.099 0.673 0.987
Cd3 0.327 0.013 0.901
Cd4 0.500 0.500 0.500
Cd5 0.673 0.987 0.099
Cd6 0.901 0.327 0.013
Cd7 0.987 0.099 0.673
# Calculated total energy   -71.17 eV per formula unit
# Space group   R-3 (148)
# N(E_F)   1.1041 states/eV/atom